a:
DFT (PBE) results for Al2CuAg after structural relaxation.

Summary:
**Space group**: Cm (8)

Cell lengths 4.769, 4.769, 4.638 Å; angles 98.54, 98.54, 36.23 degrees
Element x y z (fractional)
1 Al 0.000 0.000 0.000
2 Al 0.247 0.247 0.711
3 Cu 0.505 0.505 0.517
4 Ag 0.751 0.751 0.228

=====

b:
DFT (PBE) results for Al2CuAg after structural relaxation.

Summary:
**Space group**: I4/mmm (139)

Cell lengths 4.672, 4.672, 4.672 Å; angles 128.14, 128.14, 76.40 degrees
Element x y z (fractional)
1 Al 0.250 0.750 0.500
2 Al 0.750 0.250 0.500
3 Cu 0.000 0.000 0.000
4 Ag 0.500 0.500 0.000

=====

Which of them is the most stable? Correct choice: a.

=====

a:
DFT (PBE) results for Al2CuAg after structural relaxation.

Summary:
**Space group**: F-43m (216)

Cell lengths 4.468, 4.468, 4.468 Å; angles 60.00, 60.00, 60.00 degrees
Element x y z (fractional)
1 Al 0.000 0.000 0.000
2 Al 0.250 0.250 0.250
3 Cu 0.750 0.750 0.750
4 Ag 0.500 0.500 0.500

=====

b:
DFT (PBE) results for Al2CuAg after structural relaxation.

Summary:
**Space group**: Fm-3m (225)

Cell lengths 4.423, 4.423, 4.423 Å; angles 60.00, 60.00, 60.00 degrees
Element x y z (fractional)
1 Al 0.250 0.250 0.250
2 Al 0.750 0.750 0.750
3 Cu 0.000 0.000 0.000
4 Ag 0.500 0.500 0.500

=====

c:
DFT (PBE) results for Al2CuAg after structural relaxation.

Summary:
**Space group**: R-3m (166)

Cell lengths 8.583, 8.583, 8.583 Å; angles 19.53, 19.53, 19.53 degrees
Element x y z (fractional)
1 Al 0.243 0.243 0.243
2 Al 0.757 0.757 0.757
3 Cu 0.500 0.500 0.500
4 Ag 0.000 0.000 0.000

=====

Which of them is the most stable? Correct choice: c.

=====

a:
DFT (PBE) results for AlCu2Ag2 after structural relaxation.

Summary:
**Space group**: P4/mbm (127)

Cell lengths 6.393, 6.393, 3.831 Å; angles 90.00, 90.00, 90.00 degrees
Element x y z (fractional)
1 Al 0.000 0.000 0.000
2 Al 0.500 0.500 0.000
3 Cu 0.135 0.365 0.000
4 Cu 0.365 0.865 0.000
5 Cu 0.635 0.135 0.000
6 Cu 0.865 0.635 0.000
7 Ag 0.166 0.666 0.500
8 Ag 0.334 0.166 0.500
9 Ag 0.666 0.834 0.500
10 Ag 0.834 0.334 0.500

=====

b:
DFT (PBE) results for AlCu2Ag2 after structural relaxation.

Summary:
**Space group**: P4/mbm (127)

Cell lengths 7.095, 7.095, 3.176 Å; angles 90.00, 90.00, 90.00 degrees
Element x y z (fractional)
1 Al 0.000 0.000 0.000
2 Al 0.500 0.500 0.000
3 Cu 0.157 0.343 0.500
4 Cu 0.343 0.843 0.500
5 Cu 0.657 0.157 0.500
6 Cu 0.843 0.657 0.500
7 Ag 0.142 0.642 0.000
8 Ag 0.358 0.142 0.000
9 Ag 0.642 0.858 0.000
10 Ag 0.858 0.358 0.000

=====

Which of them is the most stable? Correct choice: a.

=====

a:
DFT (PBE) results for AlCu3Ag after structural relaxation.

Summary:
**Space group**: Pm-3m (221)

Cell lengths 4.714, 4.714, 4.714 Å; angles 90.00, 90.00, 90.00 degrees
Element x y z (fractional)
1 Al 0.000 0.000 0.000
2 Cu 0.000 0.500 0.500
3 Cu 0.500 0.000 0.500
4 Cu 0.500 0.500 0.000
5 Ag 0.500 0.500 0.500

=====

b:
DFT (PBE) results for AlCu3Ag after structural relaxation.

Summary:
**Space group**: Pm-3m (221)

Cell lengths 4.473, 4.473, 4.473 Å; angles 90.00, 90.00, 90.00 degrees
Element x y z (fractional)
1 Al 0.000 0.000 0.000
2 Cu 0.000 0.000 0.500
3 Cu 0.000 0.500 0.000
4 Cu 0.500 0.000 0.000
5 Ag 0.500 0.500 0.500

=====

Which of them is the most stable? Correct choice: b.

=====

a:
DFT (PBE) results for AlCuAg after structural relaxation.

Summary:
**Space group**: Cm (8)

Cell lengths 4.239, 4.239, 6.886 Å; angles 107.13, 107.13, 58.76 degrees
Element x y z (fractional)
1 Al 0.000 0.000 0.000
2 Al 0.583 0.583 0.750
3 Cu 0.294 0.294 0.881
4 Cu 0.866 0.866 0.606
5 Ag 0.456 0.456 0.362
6 Ag 0.723 0.723 0.165

=====

b:
DFT (PBE) results for AlCuAg after structural relaxation.

Summary:
**Space group**: I4mm (107)

Cell lengths 5.859, 5.859, 5.859 Å; angles 151.72, 151.72, 40.42 degrees
Element x y z (fractional)
1 Al 0.000 0.000 0.000
2 Cu 0.642 0.642 0.000
3 Ag 0.320 0.320 0.000

=====

c:
DFT (PBE) results for AlCuAg after structural relaxation.

Summary:
**Space group**: P3m1 (156)

Cell lengths 4.307, 4.307, 2.821 Å; angles 90.00, 90.00, 120.00 degrees
Element x y z (fractional)
1 Al 0.000 0.000 0.000
2 Cu 0.667 0.333 0.146
3 Ag 0.333 0.667 0.586

=====

d:
DFT (PBE) results for AlCuAg after structural relaxation.

Summary:
**Space group**: Imm2 (44)

Cell lengths 4.947, 4.947, 4.947 Å; angles 144.74, 140.02, 54.36 degrees
Element x y z (fractional)
1 Al 0.000 0.000 0.000
2 Cu 0.641 0.641 0.000
3 Ag 0.320 0.320 0.000

=====

Which of them is the most stable? Correct choice: d.